Entry 1:
8
Lattice="4.447 0.000 0.000 0.000 7.699 0.106 0.000 -2.722 7.015" Properties=species:S:1:pos:R:3 comment="LiSm2AgTe4 | the Alexandria database | PBE-GGA | optimized geometry" energy_ev_per_cell=-35.324 magnetic_moment_mub_per_cell=0.00 raw_formation_energy_ev_per_atom=-1.069 volume_a3_per_cell=241.43 pbc="T T T"
Te 0.000 5.069 1.775
Te 2.223 3.734 5.410
Te 0.000 -0.093 5.346
Te 2.223 1.242 1.710
Sm 2.223 -1.361 3.507
Sm 0.000 2.488 3.560
Li 2.223 3.849 0.053
Ag 0.000 0.000 0.000


Entry 2:
4
Lattice="-4.964 1.148 0.965 -1.877 -0.450 4.813 -1.197 4.247 2.724" Properties=species:S:1:pos:R:3 comment="LiSmTmAg | the Alexandria database | PBE-GGA | optimized geometry" delta_e_f_ev_per_fu=-0.34 energy_ev_per_cell=-14.300 magnetic_moment_mub_per_cell=0.00 volume_a3_per_cell=98.60 pbc="T T T"
Tm -4.019 2.472 4.251
Li -6.028 3.708 6.376
Sm 0.000 0.000 0.000
Ag -2.009 1.236 2.125


Entry 3:
4
Lattice="-1.718 4.196 -0.937 -4.809 -2.164 -0.874 3.097 -0.318 4.338" Properties=species:S:1:pos:R:3 comment="LiSmZnAg | the Alexandria database | PBE-GGA | optimized geometry" delta_e_f_ev_per_fu=-0.86 energy_ev_per_cell=-11.616 magnetic_moment_mub_per_cell=0.00 volume_a3_per_cell=85.07 pbc="T T T"
Zn 1.070 3.689 3.121
Li -2.510 -0.747 1.256
Ag -2.933 1.220 -0.601
Sm -0.941 2.447 1.247


Entry 4:
8
Lattice="4.530 0.000 0.000 2.265 3.923 0.000 2.265 1.308 8.663" Properties=species:S:1:pos:R:3 comment="Li2SmZnAg4 | the Alexandria database | PBE-GGA | optimized geometry" delta_e_f_ev_per_fu=-1.33 energy_ev_per_cell=-22.551 magnetic_moment_mub_per_cell=0.00 volume_a3_per_cell=153.95 pbc="T T T"
Ag 4.530 2.615 1.716
Ag 4.530 2.615 6.947
Ag 2.265 1.308 5.330
Ag 6.795 3.923 3.333
Li 2.265 1.308 2.512
Li 6.795 3.923 6.150
Sm 0.000 0.000 0.000
Zn 4.530 2.615 4.331


Entry 5:
10
Lattice="-1.628 -0.991 7.097 0.660 -7.268 -0.863 3.968 0.248 0.945" Properties=species:S:1:pos:R:3 comment="LiAg2Sn2 | the Alexandria database | PBE-GGA | optimized geometry" delta_e_f_ev_per_fu=-0.23 polymorph_energy_mev_per_atom=87.3 energy_ev_per_cell=-31.697 magnetic_moment_mub_per_cell=0.00 volume_a3_per_cell=220.71 pbc="T T T"
Ag -0.985 -5.483 5.577
Ag -0.021 -6.634 1.833
Ag 0.017 -2.776 0.657
Ag -0.946 -1.625 4.401
Li -0.484 -4.130 3.117
Li 0.000 0.000 0.000
Sn 2.150 -4.910 1.098
Sn 1.443 -6.575 4.507
Sn 0.850 -3.101 6.081
Sn 1.558 -1.435 2.672


Entry 6:
20
Lattice="-1.212 -4.359 5.531 7.038 -0.769 -0.970 -0.370 6.435 3.084" Properties=species:S:1:pos:R:3 comment="Li12Ag7Sn | the Alexandria database | PBE-GGA | optimized geometry" delta_e_f_ev_per_fu=-3.10 energy_ev_per_cell=-50.024 magnetic_moment_mub_per_cell=0.00 volume_a3_per_cell=337.27 pbc="T T T"
Ag 2.643 1.318 6.687
Ag 4.677 -0.679 5.576
Ag 2.812 -0.012 0.958
Ag 4.923 2.293 4.893
Ag 0.533 -0.987 2.752
Ag 2.728 0.653 3.822
Ag 0.778 1.986 2.069
Li 5.150 0.203 2.704
Li 3.749 2.587 2.230
Li 3.387 -1.909 3.257
Li 0.871 -3.448 3.892
Li 6.032 -2.402 3.943
Li 1.706 -1.281 5.415
Li 5.167 1.047 0.058
Li 2.069 3.216 4.388
Li 0.306 1.104 4.941
Li 0.289 0.260 7.587
Li -0.577 3.709 3.702
Li 4.585 4.754 3.753
Sn 0.000 0.000 0.000